Crystalline LiErSO at its relaxed geometry. Source: the Open Quantum Materials Database, functional GGA-PBE.

SG	No. 129
total magnetic moment	0.00	μB per cell
energy relative to the lowest polymorph listed for this composition	0.000	eV per atom
raw total energy	-6.344	eV per atom

abc: 3.792 3.792 8.495
angles: 90.00 90.00 90.00
Atoms (fractional coordinates):
Li1 0.250 0.750 0.000
Li2 0.750 0.250 0.000
Er1 0.250 0.250 0.369
Er2 0.750 0.750 0.631
S1 0.250 0.250 0.825
S2 0.750 0.750 0.175
O1 0.250 0.750 0.500
O2 0.750 0.250 0.500

Crystalline Dy3ZrTe2C2 at its relaxed geometry. Source: the Open Quantum Materials Database, functional GGA-PBE.

SG	No. 156
total magnetic moment	0.01	μB per cell
raw total energy	-6.737	eV per atom

abc: 3.738 3.738 13.949
angles: 90.00 90.00 120.00
Atoms (fractional coordinates):
Dy1 0.000 0.000 0.000
Dy2 0.000 0.000 0.318
Dy3 0.667 0.333 0.811
Zr1 0.667 0.333 0.498
Te1 0.000 0.000 0.645
Te2 0.667 0.333 0.160
C1 0.333 0.667 0.418
C2 0.333 0.667 0.904

Crystalline LiHfNO at its relaxed geometry. Source: the Open Quantum Materials Database, functional GGA-PBE.

SG	No. 29
total magnetic moment	0.00	μB per cell
energy relative to the lowest polymorph listed for this composition	0.359	eV per atom
raw total energy	-8.093	eV per atom

abc: 5.141 6.521 5.629
angles: 90.00 90.00 90.00
Atoms (fractional coordinates):
Li1 0.213 0.110 0.000
Li2 0.287 0.110 0.500
Li3 0.713 0.890 0.000
Li4 0.787 0.890 0.500
Hf1 0.222 0.667 0.890
Hf2 0.278 0.667 0.390
Hf3 0.722 0.333 0.890
Hf4 0.778 0.333 0.390
N1 0.087 0.846 0.151
N2 0.413 0.846 0.651
N3 0.587 0.154 0.151
N4 0.913 0.154 0.651
O1 0.043 0.404 0.110
O2 0.457 0.404 0.610
O3 0.543 0.596 0.110
O4 0.957 0.596 0.610

Crystalline NdDy3Er2CoTe2 at its relaxed geometry. Source: the Open Quantum Materials Database, functional GGA-PBE.

SG	No. 38
total magnetic moment	0.02	μB per cell
raw total energy	-5.234	eV per atom

abc: 3.942 8.381 8.381
angles: 119.61 90.00 90.00
Atoms (fractional coordinates):
Nd1 0.000 0.000 0.000
Dy1 0.500 0.174 0.406
Dy2 0.500 0.406 0.174
Dy3 0.500 0.647 0.647
Er1 0.000 0.411 0.804
Er2 0.000 0.804 0.411
Co1 0.000 0.428 0.428
Te1 0.500 0.079 0.735
Te2 0.500 0.735 0.079

Crystalline AcMg2Ag at its relaxed geometry. Source: the Open Quantum Materials Database, functional GGA-PBE.

SG	No. 63
total magnetic moment	0.01	μB per cell
raw total energy	-2.737	eV per atom

abc: 4.714 11.049 8.250
angles: 90.00 90.00 90.00
Atoms (fractional coordinates):
Ac1 0.000 0.060 0.250
Ac2 0.000 0.940 0.750
Ac3 0.500 0.440 0.750
Ac4 0.500 0.560 0.250
Mg1 0.000 0.349 0.057
Mg2 0.000 0.349 0.443
Mg3 0.000 0.651 0.557
Mg4 0.000 0.651 0.943
Mg5 0.500 0.151 0.557
Mg6 0.500 0.151 0.943
Mg7 0.500 0.849 0.057
Mg8 0.500 0.849 0.443
Ag1 0.000 0.227 0.750
Ag2 0.000 0.773 0.250
Ag3 0.500 0.273 0.250
Ag4 0.500 0.727 0.750

Crystalline Cs2MgFeC6N6 at its relaxed geometry. Source: the Open Quantum Materials Database, functional GGA-PBE.

SG	No. 225
total magnetic moment	0.00	μB per cell
raw total energy	-7.632	eV per atom

abc: 7.321 7.321 7.321
angles: 60.00 60.00 60.00
Atoms (fractional coordinates):
Cs1 0.250 0.250 0.250
Cs2 0.750 0.750 0.750
Mg1 0.000 0.000 0.000
Fe1 0.500 0.500 0.500
C1 0.320 0.320 0.680
C2 0.320 0.680 0.320
C3 0.320 0.680 0.680
C4 0.680 0.320 0.320
C5 0.680 0.320 0.680
C6 0.680 0.680 0.320
N1 0.206 0.206 0.794
N2 0.206 0.794 0.206
N3 0.206 0.794 0.794
N4 0.794 0.206 0.206
N5 0.794 0.206 0.794
N6 0.794 0.794 0.206

Crystalline NaInPdSe3 at its relaxed geometry. Source: the Open Quantum Materials Database, functional GGA-PBE.

SG	No. 11
raw total energy	-3.772	eV per atom

abc: 7.807 3.872 10.325
angles: 90.00 103.43 90.00
Atoms (fractional coordinates):
Na1 0.243 0.250 0.279
Na2 0.757 0.750 0.721
In1 0.309 0.750 0.895
In2 0.691 0.250 0.105
Pd1 0.104 0.250 0.610
Pd2 0.896 0.750 0.390
Se1 0.060 0.250 0.851
Se2 0.222 0.750 0.510
Se3 0.458 0.750 0.157
Se4 0.542 0.250 0.843
Se5 0.778 0.250 0.490
Se6 0.940 0.750 0.149

Crystalline TbDy2Ga3NiGe2 at its relaxed geometry. Source: the Open Quantum Materials Database, functional GGA-PBE.

SG	No. 38
total magnetic moment	0.00	μB per cell
raw total energy	-4.915	eV per atom

abc: 4.152 6.990 6.990
angles: 120.02 90.00 90.00
Atoms (fractional coordinates):
Tb1 0.000 0.000 0.000
Dy1 0.000 0.201 0.601
Dy2 0.000 0.601 0.201
Ga1 0.500 0.372 0.372
Ga2 0.500 0.600 0.829
Ga3 0.500 0.829 0.600
Ni1 0.000 0.600 0.600
Ge1 0.500 0.268 0.934
Ge2 0.500 0.934 0.268

Crystalline CsOsSO at its relaxed geometry. Source: the Open Quantum Materials Database, functional GGA-PBE.

SG	No. 129
total magnetic moment	2.53	μB per cell
energy relative to the lowest polymorph listed for this composition	1.080	eV per atom
raw total energy	-4.900	eV per atom

abc: 4.386 4.386 9.890
angles: 90.00 90.00 90.00
Atoms (fractional coordinates):
Cs1 0.250 0.750 0.000
Cs2 0.750 0.250 0.000
Os1 0.250 0.250 0.463
Os2 0.750 0.750 0.537
S1 0.250 0.250 0.241
S2 0.750 0.750 0.759
O1 0.250 0.750 0.500
O2 0.750 0.250 0.500

Crystalline UAgHg at its relaxed geometry. Source: the Open Quantum Materials Database, functional GGA-PBE.

ΔE_f	576	meV per atom
SG	No. 216
total magnetic moment	13.07	μB per cell
raw total energy	-4.230	eV per atom

abc: 6.824 6.824 6.824
angles: 90.00 90.00 90.00
Atoms (fractional coordinates):
U1 0.000 0.000 0.000
U2 0.000 0.500 0.500
U3 0.500 0.000 0.500
U4 0.500 0.500 0.000
Ag1 0.250 0.250 0.750
Ag2 0.250 0.750 0.250
Ag3 0.750 0.250 0.250
Ag4 0.750 0.750 0.750
Hg1 0.000 0.000 0.500
Hg2 0.000 0.500 0.000
Hg3 0.500 0.000 0.000
Hg4 0.500 0.500 0.500

Crystalline LaZrPO at its relaxed geometry. Source: the Open Quantum Materials Database, functional GGA-PBE.

SG	No. 26
total magnetic moment	0.01	μB per cell
energy relative to the lowest polymorph listed for this composition	0.189	eV per atom
raw total energy	-7.856	eV per atom

abc: 3.983 6.251 6.779
angles: 90.00 90.00 90.00
Atoms (fractional coordinates):
La1 0.000 0.225 0.000
La2 0.000 0.775 0.500
Zr1 0.500 0.301 0.430
Zr2 0.500 0.699 0.930
P1 0.500 0.041 0.720
P2 0.500 0.959 0.220
O1 0.000 0.405 0.379
O2 0.000 0.595 0.879

Crystalline ZnGeSeO at its relaxed geometry. Source: the Open Quantum Materials Database, functional GGA-PBE.

SG	No. 129
energy relative to the lowest polymorph listed for this composition	0.761	eV per atom
raw total energy	-3.652	eV per atom

abc: 3.303 3.303 12.402
angles: 90.00 90.00 90.00
Atoms (fractional coordinates):
Zn1 0.250 0.250 0.079
Zn2 0.750 0.750 0.921
Ge1 0.250 0.750 0.500
Ge2 0.750 0.250 0.500
Se1 0.250 0.250 0.697
Se2 0.750 0.750 0.303
O1 0.250 0.250 0.919
O2 0.750 0.750 0.081

- Look up the raw total energy of the fifth one.
  -2.737 eV per atom

- What is the raw total energy in the twelfth record?
  -3.652 eV per atom